First-principles (PBE) data for a geometry-optimized Ac3SnN structure, as listed in the Alexandria database.

Calculated values
Formation energy without anion corrections   -0.78 eV per atom
Total DFT energy (no corrections)   -28.6 eV for the cell shown

Unit cell a=5.328 b=5.328 c=5.328 alpha=90.00 beta=90.00 gamma=90.00
Fractional coordinates of all 5 atoms:
N 0.000 0.000 0.000
Ac 0.500 0.000 0.000
Ac 0.000 0.000 0.500
Ac 0.000 0.500 0.000
Sn 0.500 0.500 0.500